(1)
This record from Alexandria via LeMat-Bulk describes an optimized crystal structure of Sr3TiRe. The functional is PBEsol.

Cell lengths 5.6739, 5.6739, 5.6739 Å; angles 90.00, 90.00, 90.00 degrees
Positions (direct):
Sr1 0.0000 0.0000 0.5000
Sr2 0.0000 0.5000 0.0000
Sr3 0.5000 0.0000 0.0000
Ti1 0.5000 0.5000 0.5000
Re1 0.0000 0.0000 0.0000

Values from the calculation:
DOS(E_F) ... 11.94 states/eV per cell
Space group ... Pm-3m (221)
Energy relative to the elements ... 1.3534 eV/atom

=====

(2)
This record from Alexandria via LeMat-Bulk describes an optimized crystal structure of SrYRe3. The functional is PBEsol.

Cell lengths 4.8794, 4.8794, 4.8794 Å; angles 90.00, 90.00, 90.00 degrees
Positions (direct):
Sr1 0.0000 0.0000 0.0000
Y1 0.5000 0.5000 0.5000
Re1 0.0000 0.5000 0.5000
Re2 0.5000 0.0000 0.5000
Re3 0.5000 0.5000 0.0000

Values from the calculation:
DOS(E_F) ... 4.54 states/eV per cell
Space group ... Pm-3m (221)
Energy relative to the elements ... 2.5290 eV/atom